# 1
# MnTePtI2

An optimized crystal structure of MnTePtI2 (PBE-GGA, Alexandria via LeMat-Bulk).

- symmetry = P4/mmm, No. 123
- raw formation energy (eV per atom) = 0.73
- E above lowest polymorph (meV/atom) = 237.3

Cell: 6.244 4.926 6.244 Å, 90.00 90.00 90.00°
Atoms (fractional coordinates):
I: 0.000 0.000 0.500
I: 0.500 0.000 0.000
Mn: 0.500 0.500 0.500
Te: 0.000 0.000 0.000
Pt: 0.000 0.500 0.000


# 2
# Na2Li2As

An optimized crystal structure of Na2Li2As (PBE-GGA, Alexandria via LeMat-Bulk).

- symmetry = P4/mbm, No. 127
- energy relative to the elements (meV per atom) = -290.0
- E above lowest polymorph (meV/atom) = 51.1

Cell: 6.667 6.667 5.106 Å, 90.00 90.00 90.00°
Atoms (fractional coordinates):
Na: 0.190 0.690 0.500
Na: 0.690 0.810 0.500
Na: 0.810 0.310 0.500
Na: 0.310 0.190 0.500
As: 0.000 0.000 0.000
As: 0.500 0.500 0.000
Li: 0.340 0.840 0.000
Li: 0.840 0.660 0.000
Li: 0.660 0.160 0.000
Li: 0.160 0.340 0.000


# 3
# CePuHf2

An optimized crystal structure of CePuHf2 (PBE-GGA, Alexandria via LeMat-Bulk).

- symmetry = P4/mmm, No. 123
- energy relative to the elements (meV per atom) = 156.9
- E above lowest polymorph (meV/atom) = 29.3

Cell: 3.185 3.185 9.589 Å, 90.00 90.00 90.00°
Atoms (fractional coordinates):
Hf: 0.000 0.000 0.761
Hf: 0.000 0.000 0.239
Ce: 0.500 0.500 0.500
Pu: 0.500 0.500 0.000


# 4
# La2Al

An optimized crystal structure of La2Al (PBE-GGA, Alexandria via LeMat-Bulk).

- symmetry = C2/c, No. 15
- energy relative to the elements (meV per atom) = -207.0

Cell: 5.820 5.820 7.829 Å, 55.88 55.88 60.03°
Atoms (fractional coordinates):
La: 0.577 0.776 0.244
La: 0.224 0.423 0.256
La: 0.423 0.224 0.756
La: 0.776 0.577 0.744
Al: 0.103 0.897 0.750
Al: 0.897 0.103 0.250